Entry 1:
DFT (PBE) results for an optimized crystal structure of BeZnMoN2.

Properties
- electronic total energy (eV for the cell shown) = -26.3
- uncorrected formation energy (eV/atom) = 1.24

Lattice parameters (Å, degrees): 3.577 3.577 4.118 90.00 90.00 90.00
Space group P4/mmm (No. 123)
Symmetry-distinct sites (fractional):
Be 0.000 0.000 0.000 [1 per cell]
Zn 0.000 0.000 0.500 [1 per cell]
Mo 0.500 0.500 0.500 [1 per cell]
N 0.000 0.500 0.000 [2 per cell]



Entry 2:
DFT (PBE) results for an optimized crystal structure of BH3Pb.

Properties
- electronic total energy (eV for the cell shown) = -13.2
- E above lowest polymorph (eV/atom) = 0.568

Lattice parameters (Å, degrees): 4.103 4.103 4.103 90.00 90.00 90.00
Space group Pm-3m (No. 221)
Symmetry-distinct sites (fractional):
B 0.000 0.000 0.000 [1 per cell]
H 0.000 0.500 0.500 [3 per cell]
Pb 0.500 0.500 0.500 [1 per cell]



Entry 3:
DFT (PBE) results for an optimized crystal structure of BeTc2.

Properties
- ΔH_f (0 K) (eV per atom) = 0.22
- electronic total energy (eV for the cell shown) = -95.2
- E above lowest polymorph (eV/atom) = 0.491

Lattice parameters (Å, degrees): 2.720 2.720 20.993 90.00 90.00 90.00
Space group I4_1/amd (No. 141, origin choice 2)
Symmetry-distinct sites (fractional):
Be 0.000 0.250 0.375 [4 per cell]
Tc 0.000 0.250 0.800 [8 per cell]



Entry 4:
DFT (PBE) results for an optimized crystal structure of Ta2Ni2Mo.

Properties
- ΔH_f (0 K) (eV per atom) = 0.13
- electronic total energy (eV for the cell shown) = -90.9
- E above lowest polymorph (eV/atom) = 0.195

Lattice parameters (Å, degrees): 7.355 7.355 2.828 90.00 90.00 90.00
Space group P4/mbm (No. 127)
Symmetry-distinct sites (fractional):
Ta 0.164 0.336 0.000 [4 per cell]
Ni 0.130 0.630 0.500 [4 per cell]
Mo 0.000 0.000 0.000 [2 per cell]



Entry 5:
DFT (PBE) results for an optimized crystal structure of Li5Y.

Properties
- ΔH_f (0 K) (eV per atom) = 0.10
- electronic total energy (eV for the cell shown) = -30.9
- E above lowest polymorph (eV/atom) = 0.026

Lattice parameters (Å, degrees): 5.277 15.388 3.331 90.00 90.00 90.00
Space group Cmmm (No. 65)
Symmetry-distinct sites (fractional):
Li 0.000 0.000 0.000 [2 per cell]
Li 0.000 0.153 0.500 [4 per cell]
Li 0.000 0.314 0.000 [4 per cell]
Y 0.000 0.500 0.500 [2 per cell]



Entry 6:
DFT (PBE) results for an optimized crystal structure of TlTe2H.

Properties
- electronic total energy (eV for the cell shown) = -30.5
- E above lowest polymorph (eV/atom) = 0.446

Lattice parameters (Å, degrees): 3.3801 3.3801 28.0965 90.00 90.00 120.00
Space group R-3m (No. 166, hexagonal axes)
Symmetry-distinct sites (fractional):
Tl 0.0000 0.0000 0.0000 [3 per cell]
Te 0.0000 0.0000 0.2250 [6 per cell]
H 0.0000 0.0000 0.5000 [3 per cell]



Entry 7:
DFT (PBE) results for an optimized crystal structure of Al3Te.

Properties
- electronic total energy (eV for the cell shown) = -40.2
- E above lowest polymorph (eV/atom) = 0.194
- uncorrected formation energy (eV/atom) = 0.24

Lattice parameters (Å, degrees): 3.0740 3.0740 30.1269 90.00 90.00 120.00
Space group R-3m (No. 166, hexagonal axes)
Symmetry-distinct sites (fractional):
Al 0.0000 0.0000 0.0000 [3 per cell]
Al 0.0000 0.0000 0.2585 [6 per cell]
Te 0.0000 0.0000 0.5000 [3 per cell]